# 1
# SCAN NiOsRu2, PBEsol geometry
# Excess energy over the best structure of this formula in the dataset = 0.0 meV per atom
# SG = No. 47
# Energy of formation = 0.137 eV per atom
data_NiOsRu2
_cell_length_a 2.662
_cell_length_b 3.712
_cell_length_c 5.208
_cell_angle_alpha 90.00
_cell_angle_beta 90.00
_cell_angle_gamma 90.00
_symmetry_space_group_name_H-M 'P 1'
_symmetry_Int_Tables_number 1
loop_
_symmetry_equiv_pos_as_xyz
'x,y,z'
loop_
_atom_site_label
_atom_site_fract_x
_atom_site_fract_y
_atom_site_fract_z
Ni1 0.500 0.500 0.000
Ru1 0.000 0.000 0.243
Os1 0.500 0.500 0.500
Ru2 0.000 0.000 0.757


# 2
# SCAN SiTcOs2, PBEsol geometry
# Uncorrected formation energy = 0.576 eV per formula unit
# SG = No. 216
data_SiTcOs2
_cell_length_a 4.259
_cell_length_b 4.259
_cell_length_c 4.259
_cell_angle_alpha 60.00
_cell_angle_beta 60.00
_cell_angle_gamma 60.00
_symmetry_space_group_name_H-M 'P 1'
_symmetry_Int_Tables_number 1
loop_
_symmetry_equiv_pos_as_xyz
'x,y,z'
loop_
_atom_site_label
_atom_site_fract_x
_atom_site_fract_y
_atom_site_fract_z
Tc1 0.250 0.250 0.250
Os1 0.750 0.750 0.750
Os2 0.000 0.000 0.000
Si1 0.500 0.500 0.500


# 3
# SCAN KW3O9, PBEsol geometry
# Uncorrected formation energy = -29.712 eV per formula unit
# SG = No. 183
data_KW3O9
_cell_length_a 3.821
_cell_length_b 7.410
_cell_length_c 7.410
_cell_angle_alpha 120.00
_cell_angle_beta 90.00
_cell_angle_gamma 90.00
_symmetry_space_group_name_H-M 'P 1'
_symmetry_Int_Tables_number 1
loop_
_symmetry_equiv_pos_as_xyz
'x,y,z'
loop_
_atom_site_label
_atom_site_fract_x
_atom_site_fract_y
_atom_site_fract_z
O1 0.493 0.211 0.422
W1 0.495 0.000 0.500
O2 0.994 0.500 0.000
O3 0.493 0.211 0.789
O4 0.994 0.500 0.500
O5 0.493 0.789 0.211
W2 0.495 0.500 0.000
O6 0.493 0.578 0.789
O7 0.493 0.422 0.211
W3 0.495 0.500 0.500
O8 0.994 0.000 0.500
K1 0.171 0.000 0.000
O9 0.493 0.789 0.578


# 4
# SCAN Be2NiAg, PBEsol geometry
# SG = No. 119
# Energy of formation = -0.009 eV per atom
data_Be2NiAg
_cell_length_a 3.333
_cell_length_b 3.333
_cell_length_c 4.535
_cell_angle_alpha 111.57
_cell_angle_beta 111.57
_cell_angle_gamma 90.00
_symmetry_space_group_name_H-M 'P 1'
_symmetry_Int_Tables_number 1
loop_
_symmetry_equiv_pos_as_xyz
'x,y,z'
loop_
_atom_site_label
_atom_site_fract_x
_atom_site_fract_y
_atom_site_fract_z
Be1 0.750 0.250 0.500
Ni1 0.500 0.500 0.000
Ag1 0.250 0.750 0.500
Be2 0.000 0.000 0.000


# 5
# SCAN ZrCdTc2, PBEsol geometry
# SG = No. 216
# Energy of formation = 0.176 eV per atom
data_ZrCdTc2
_cell_length_a 4.558
_cell_length_b 4.558
_cell_length_c 4.558
_cell_angle_alpha 60.00
_cell_angle_beta 60.00
_cell_angle_gamma 60.00
_symmetry_space_group_name_H-M 'P 1'
_symmetry_Int_Tables_number 1
loop_
_symmetry_equiv_pos_as_xyz
'x,y,z'
loop_
_atom_site_label
_atom_site_fract_x
_atom_site_fract_y
_atom_site_fract_z
Tc1 0.000 0.000 0.000
Tc2 0.750 0.750 0.750
Cd1 0.500 0.500 0.500
Zr1 0.250 0.250 0.250


# 6
# SCAN Na2LiTl, PBEsol geometry
# SG = No. 225
# Energy of formation = -0.140 eV per atom
data_Na2LiTl
_cell_length_a 5.294
_cell_length_b 5.294
_cell_length_c 5.294
_cell_angle_alpha 60.00
_cell_angle_beta 60.00
_cell_angle_gamma 60.00
_symmetry_space_group_name_H-M 'P 1'
_symmetry_Int_Tables_number 1
loop_
_symmetry_equiv_pos_as_xyz
'x,y,z'
loop_
_atom_site_label
_atom_site_fract_x
_atom_site_fract_y
_atom_site_fract_z
Na1 0.750 0.750 0.750
Tl1 0.500 0.500 0.500
Na2 0.250 0.250 0.250
Li1 0.000 0.000 0.000


DFT total energy: -39.29; -47.06; -23.32; -14.07; -32.63; -20.93 (eV/atom)